(1)
Material: V6ReOs2
Method: DFT, PBE
State: relaxed

```
9
Lattice="6.536 -2.911 0.000 6.536 2.911 0.000 -1.302 0.000 3.933" Properties=species:S:1:pos:R:3 pbc="T T T"
V 3.923 1.456 1.311
V 6.536 1.454 0.000
V 7.847 1.456 2.622
V 3.923 -1.456 1.311
V 6.536 -1.454 0.000
V 7.847 -1.456 2.622
Re -0.651 0.000 1.966
Os 3.269 0.000 3.276
Os 8.501 0.000 0.657
```

(2)
Material: V3ReOs
Method: DFT, PBE
State: relaxed

The energy relative to the lowest polymorph listed for this composition is 1526 meV per atom.

```
5
Lattice="4.522 0.000 0.000 0.000 4.522 0.000 0.000 0.000 4.522" Properties=species:S:1:pos:R:3 pbc="T T T"
V 0.000 0.000 2.261
V 0.000 2.261 0.000
V 2.261 0.000 0.000
Re 2.261 2.261 2.261
Os 0.000 0.000 0.000
```

(3)
Material: V4Re3Os2
Method: DFT, PBE
State: relaxed

```
9
Lattice="4.299 0.000 0.000 -2.150 3.723 0.000 0.000 0.000 7.901" Properties=species:S:1:pos:R:3 pbc="T T T"
V 0.000 0.000 1.285
V 0.000 0.000 6.616
V 0.000 2.482 3.086
V 2.150 1.241 4.815
Re 0.000 0.000 3.950
Re 0.000 2.482 0.524
Re 2.150 1.241 7.377
Os 0.000 2.482 5.675
Os 2.150 1.241 2.226
```

(4)
Material: V4Re2Os
Method: DFT, PBE
State: relaxed

The energy relative to the lowest polymorph listed for this composition is 1190 meV per atom.

```
7
Lattice="-2.257 2.257 6.178 2.257 -2.257 6.178 2.257 2.257 -6.178" Properties=species:S:1:pos:R:3 pbc="T T T"
V 2.257 0.000 0.000
V 0.000 0.000 2.438
V 0.000 2.257 0.000
V 0.000 0.000 9.918
Re 0.000 0.000 4.770
Re 0.000 0.000 7.586
Os 0.000 0.000 0.000
```

(5)
Material: V12Re3Os5
Method: DFT, PBE
State: relaxed

```
80
Lattice="-7.117 7.117 7.117 7.117 -7.117 7.117 7.117 7.117 -7.117" Properties=species:S:1:pos:R:3 pbc="T T T"
V 2.166 -0.197 1.075
V 8.509 4.633 -3.755
V 6.920 -1.075 2.166
V 10.872 -1.392 2.483
V 9.283 0.197 1.075
V 8.509 -2.483 3.755
V 1.075 2.166 -0.197
V 9.600 3.361 -1.392
V 4.633 3.755 -1.392
V 6.042 2.166 0.197
V -0.197 1.075 2.166
V 3.755 -1.392 4.633
V 6.920 6.042 -2.166
V 3.755 1.392 2.483
V 6.042 -2.166 6.920
V 4.633 -3.755 8.509
V 2.483 3.755 1.392
V 8.192 4.951 0.197
V 2.166 6.920 -1.075
V 8.509 2.483 3.361
V 3.755 8.509 -2.483
V 6.920 1.075 4.951
V 1.392 2.483 3.755
V 2.166 0.197 6.042
V 4.951 6.920 1.075
V 5.724 4.633 3.361
V 0.197 6.042 2.166
V 3.361 -1.392 9.600
V -1.392 4.633 3.755
V 4.951 0.197 8.192
V -1.075 2.166 6.920
V 4.633 3.361 5.724
V 2.483 10.872 -1.392
V 1.075 9.283 0.197
V 3.361 5.724 4.633
V 0.197 1.075 9.283
V 3.361 8.509 2.483
V 7.314 6.042 4.951
V 1.075 4.951 6.920
V 2.483 3.361 8.509
V -2.483 3.755 8.509
V 6.042 4.951 7.314
V -1.392 9.600 3.361
V -2.166 6.920 6.042
V -3.755 8.509 4.633
V 0.197 8.192 4.951
V -1.392 2.483 10.872
V 4.951 7.314 6.042
Re 3.558 1.779 0.000
Re 7.117 3.558 -1.779
Re 1.779 0.000 3.558
Re 8.896 0.000 3.558
Re 0.000 3.558 1.779
Re 3.558 -1.779 7.117
Re 3.558 8.896 0.000
Re 7.117 3.558 5.337
Re -1.779 7.117 3.558
Re 5.337 7.117 3.558
Re 0.000 3.558 8.896
Re 3.558 5.337 7.117
Os 0.000 0.000 0.000
Os 3.558 3.558 -3.558
Os 3.558 -3.558 3.558
Os 7.117 0.000 0.000
Os 10.675 1.779 0.000
Os 7.117 -3.558 5.337
Os 5.337 7.117 -3.558
Os 5.337 0.000 3.558
Os 3.558 5.337 0.000
Os 7.117 3.558 1.779
Os -3.558 3.558 3.558
Os 0.000 7.117 0.000
Os 0.000 0.000 7.117
Os 3.558 3.558 3.558
Os 0.000 3.558 5.337
Os 3.558 1.779 7.117
Os 1.779 7.117 3.558
Os 1.779 0.000 10.675
Os 0.000 10.675 1.779
Os -3.558 5.337 7.117
```

(6)
Material: V3Re2Os
Method: DFT, PBE
State: relaxed

```
6
Lattice="3.032 0.000 0.000 0.000 3.032 0.000 0.000 0.000 9.107" Properties=species:S:1:pos:R:3 pbc="T T T"
V 0.000 0.000 0.000
V 0.000 0.000 3.010
V 0.000 0.000 6.097
Re 1.516 1.516 1.526
Re 1.516 1.516 7.581
Os 1.516 1.516 4.553
```

Formation enthalpy at 0 K values (in eV per atom) by entry order: 0.36 1.49 -0.23 1.20 0.90 -0.33.